## CaIn2As (PBE)

Data for a relaxed structure of CaIn2As.

```
CaIn2As
1.0
5.262 0.000 0.000
2.631 4.557 0.000
2.631 1.519 4.296
As In Ca
1 2 1
Cartesian
5.262 3.038 2.148 As
2.631 1.519 1.074 In
0.000 0.000 0.000 In
7.893 4.557 3.222 Ca
```

Results
Total moment ... 0.0 μB per cell
Crystal system ... cubic
DFT formation energy ... -0.26 eV/atom
Fermi-level density of states ... 2.6 states/eV/cell

## Ca5InAs4 (PBE)

Data for a relaxed structure of Ca5InAs4.

```
Ca5InAs4
1.0
5.023 0.000 0.000
0.000 6.586 -2.914
-2.511 -3.739 10.097
Ca As In
5 4 1
Cartesian
0.000 0.814 2.187 Ca
2.511 -1.541 6.344 Ca
2.511 3.293 -1.457 Ca
0.000 4.388 0.839 Ca
2.511 2.032 4.995 Ca
0.000 3.416 3.713 As
2.511 1.001 7.791 As
0.000 1.846 -0.609 As
2.511 -0.570 3.469 As
2.511 0.000 0.000 In
```

Results
Total moment ... 0.0 μB per cell
Crystal system ... monoclinic
DFT formation energy ... -0.89 eV/atom
Fermi-level density of states ... 3.4 states/eV/cell

## Ca2InAs2 (PBE)

Data for a relaxed structure of Ca2InAs2.

```
Ca2InAs2
1.0
5.895 0.000 0.000
2.948 6.845 0.308
2.948 2.534 7.552
As Ca In
4 4 2
Cartesian
5.895 4.013 6.024 As
2.948 2.739 3.232 As
8.843 6.640 4.627 As
5.895 5.366 1.835 As
8.843 3.995 5.919 Ca
5.895 2.624 3.236 Ca
5.895 6.755 4.623 Ca
2.948 5.383 1.941 Ca
8.843 8.136 6.751 In
2.948 1.243 1.109 In
```

Results
Total moment ... 1.0 μB per cell
Crystal system ... monoclinic
DFT formation energy ... -0.69 eV/atom
Fermi-level density of states ... 5.6 states/eV/cell

## CaInAs4 (PBE)

Data for a relaxed structure of CaInAs4.

```
CaInAs4
1.0
3.134 -2.804 -3.970
3.075 -4.660 1.507
-1.635 -5.249 -1.796
In As Ca
1 4 1
Cartesian
0.000 0.000 0.000 In
0.867 -7.415 -2.503 As
3.305 -6.165 -3.614 As
1.703 -4.732 -1.585 As
3.275 -7.114 -0.814 As
3.431 -9.534 -3.193 Ca
```

Results
Total moment ... 0.0 μB per cell
Crystal system ... cubic
DFT formation energy ... -0.13 eV/atom
Fermi-level density of states ... 4.5 states/eV/cell

## CaIn2As (PBE)

Data for a relaxed structure of CaIn2As.

```
CaIn2As
1.0
8.481 0.000 0.000
0.000 8.481 0.000
4.240 4.240 3.027
Ca In As
2 4 2
Cartesian
4.240 8.481 1.513 Ca
4.240 4.240 0.000 Ca
10.601 10.987 2.270 In
6.747 2.120 0.757 In
6.360 5.974 2.270 In
1.734 6.360 0.757 In
8.481 4.240 1.513 As
0.000 0.000 0.000 As
```

Results
Total moment ... 0.0 μB per cell
Crystal system ... tetragonal
DFT formation energy ... -0.40 eV/atom
Fermi-level density of states ... 2.7 states/eV/cell

## CaIn2As (PBE)

Data for a relaxed structure of CaIn2As.

```
CaIn2As
1.0
-0.916 0.873 -5.640
-4.286 -3.335 -1.978
0.612 3.755 4.352
As In Ca
1 2 1
Cartesian
-2.654 -1.257 -3.887 As
-5.191 -2.458 -7.602 In
-1.333 1.755 -2.373 In
-3.215 -0.443 -0.831 Ca
```

Results
Total moment ... 0.0 μB per cell
Crystal system ... orthorhombic
DFT formation energy ... -0.36 eV/atom
Fermi-level density of states ... 1.7 states/eV/cell

## Ca2InAs2 (PBE)

Data for a relaxed structure of Ca2InAs2.

```
Ca2InAs2
1.0
5.132 0.000 0.000
0.000 5.132 0.000
2.566 2.566 5.434
As Ca In
2 2 1
Cartesian
2.566 2.566 1.261 As
5.132 5.132 4.173 As
5.132 2.566 2.717 Ca
2.566 5.132 2.717 Ca
0.000 0.000 0.000 In
```

Results
Total moment ... 0.0 μB per cell
Crystal system ... tetragonal
DFT formation energy ... -0.56 eV/atom
Fermi-level density of states ... 2.5 states/eV/cell

## CaIn2As (PBE)

Data for a relaxed structure of CaIn2As.

```
CaIn2As
1.0
5.139 0.000 0.000
0.000 4.660 0.128
0.000 0.791 4.598
Ca In As
1 2 1
Cartesian
2.569 4.088 3.545 Ca
0.000 2.499 2.168 In
0.000 0.226 0.195 In
2.569 1.363 1.182 As
```

Results
Total moment ... 0.0 μB per cell
Crystal system ... orthorhombic
DFT formation energy ... -0.37 eV/atom
Fermi-level density of states ... 1.7 states/eV/cell

## CaIn2As (PBE)

Data for a relaxed structure of CaIn2As.

```
CaIn2As
1.0
3.981 0.000 0.000
0.000 4.392 0.003
0.000 2.201 6.137
In Ca As
2 1 1
Cartesian
0.000 0.278 0.229 In
1.991 2.470 1.365 In
1.991 4.669 4.104 Ca
0.000 2.473 3.512 As
```

Results
Total moment ... 0.0 μB per cell
Crystal system ... monoclinic
DFT formation energy ... -0.47 eV/atom
Fermi-level density of states ... 1.3 states/eV/cell

## Ca2In2As (PBE)

Data for a relaxed structure of Ca2In2As.

```
Ca2In2As
1.0
-7.386 -1.755 0.730
1.875 -6.243 3.959
-0.198 2.540 4.099
Ca In As
4 4 2
Cartesian
-0.097 -3.208 4.824 Ca
-2.221 -0.369 2.962 Ca
-3.488 -5.089 5.826 Ca
-5.612 -2.250 3.964 Ca
-4.438 -1.958 0.999 In
-0.314 -2.515 1.543 In
-1.073 -6.039 3.690 In
-5.196 -5.483 3.146 In
0.000 0.000 0.000 As
-2.755 -3.999 2.345 As
```

Results
Total moment ... 0.0 μB per cell
Crystal system ... tetragonal
DFT formation energy ... -0.40 eV/atom
Fermi-level density of states ... 6.5 states/eV/cell

## CaInAs (PBE)

Data for a relaxed structure of CaInAs.

```
CaInAs
1.0
7.042 0.000 0.000
0.000 11.700 0.000
0.000 -5.850 4.240
As In Ca
4 4 4
Cartesian
5.025 1.137 0.000 As
1.504 4.714 0.000 As
5.538 6.987 0.000 As
2.017 10.564 0.000 As
2.174 2.077 0.000 In
4.868 9.624 0.000 In
5.695 3.774 0.000 In
1.347 7.927 0.000 In
3.521 5.850 1.884 Ca
0.000 5.850 2.356 Ca
3.521 0.000 2.356 Ca
0.000 0.000 1.884 Ca
```

Results
Total moment ... 0.0 μB per cell
Crystal system ... orthorhombic
DFT formation energy ... -0.48 eV/atom
Fermi-level density of states ... 4.8 states/eV/cell

## Ca2InAs2 (PBE)

Data for a relaxed structure of Ca2InAs2.

```
Ca2InAs2
1.0
8.687 0.000 0.000
0.000 8.687 0.000
0.000 0.000 3.402
In Ca As
2 4 4
Cartesian
4.343 4.343 0.000 In
0.000 0.000 0.000 In
7.497 5.533 0.000 Ca
3.154 7.497 0.000 Ca
1.189 3.154 0.000 Ca
5.533 1.189 0.000 Ca
7.264 2.921 1.701 As
5.766 7.264 1.701 As
2.921 1.423 1.701 As
1.423 5.766 1.701 As
```

Results
Total moment ... 0.0 μB per cell
Crystal system ... tetragonal
DFT formation energy ... -0.65 eV/atom
Fermi-level density of states ... 2.2 states/eV/cell